Material: Zn2FeHgC
Method: DFT, PBE
State: relaxed

Output
E_tot = -18.1 eV/cell
Formation energy from the elements = 0.4939 eV per atom
Crystal system = tetragonal

abc: 4.283 4.283 3.765
angles: 90.00 90.00 90.00
Space group P4/mmm (No. 123)
One atom of each set of equivalent atoms:
Zn 0.000 0.500 0.000
Fe 0.000 0.000 0.500
Hg 0.500 0.500 0.500
C 0.000 0.000 0.000



Material: BaSmInHg
Method: DFT, PBE
State: relaxed

Output
E_tot = -44.4 eV/cell
Formation energy from the elements = -0.3558 eV per atom
Crystal system = cubic

abc: 8.071 8.071 8.071
angles: 90.00 90.00 90.00
Space group F-43m (No. 216)
One atom of each set of equivalent atoms:
Ba 0.000 0.000 0.000
Sm 0.000 0.000 0.500
In 0.250 0.250 0.750
Hg 0.250 0.250 0.250



Material: SrLaN2
Method: DFT, PBE
State: relaxed

Output
E_tot = -77.9 eV/cell
Crystal system = trigonal
ΔE_f (raw) = -0.674 eV/atom

abc: 3.7084 3.7084 19.0135
angles: 90.00 90.00 120.00
Space group R3m (No. 160, hexagonal axes)
One atom of each set of equivalent atoms:
Sr 0.0000 0.0000 0.0000
La 0.0000 0.0000 0.1715
N 0.0000 0.0000 0.5815
N 0.0000 0.0000 0.7653



Material: Nd2Y4Sn3O2
Method: DFT, PBE
State: relaxed

Output
E_tot = -148.6 eV/cell
Crystal system = tetragonal
ΔE_f (raw) = -1.542 eV/atom

abc: 4.681 4.681 25.512
angles: 90.00 90.00 90.00
Space group I4/mmm (No. 139)
One atom of each set of equivalent atoms:
Nd 0.000 0.000 0.195
Y 0.000 0.500 0.082
Sn 0.000 0.000 0.325
Sn 0.000 0.000 0.500
O 0.000 0.000 0.094



Material: NaLaGeBi2
Method: DFT, PBE
State: relaxed

Output
E_tot = -14.9 eV/cell
Formation energy from the elements = 0.7465 eV per atom
Crystal system = tetragonal

abc: 6.085 6.085 6.064
angles: 90.00 90.00 90.00
Space group P4/mmm (No. 123)
One atom of each set of equivalent atoms:
Na 0.000 0.000 0.000
La 0.000 0.000 0.500
Ge 0.500 0.500 0.000
Bi 0.000 0.500 0.500



Material: BaTaIn2
Method: DFT, PBE
State: relaxed

Output
E_tot = -35.9 eV/cell
Formation energy from the elements = 0.3263 eV per atom
Crystal system = monoclinic

abc: 9.648 3.198 7.372
angles: 90.00 95.69 90.00
Space group C2/m (No. 12)
One atom of each set of equivalent atoms:
Ba 0.000 0.000 0.000
Ta 0.000 0.500 0.500
In 0.241 0.000 0.685



Material: SrYTe2
Method: DFT, PBE
State: relaxed

Output
E_tot = -77.4 eV/cell
Crystal system = cubic
ΔE_f (raw) = -1.228 eV/atom

abc: 7.852 7.852 7.852
angles: 90.00 90.00 90.00
Space group Fm-3m (No. 225)
One atom of each set of equivalent atoms:
Sr 0.000 0.000 0.000
Y 0.000 0.000 0.500
Te 0.250 0.250 0.250



Material: Cr3InP
Method: DFT, PBE
State: relaxed

Output
E_tot = -28.7 eV/cell
Formation energy from the elements = 1.6648 eV per atom
Crystal system = cubic

abc: 5.001 5.001 5.001
angles: 90.00 90.00 90.00
Space group Pm-3m (No. 221)
One atom of each set of equivalent atoms:
Cr 0.000 0.000 0.500
In 0.000 0.000 0.000
P 0.500 0.500 0.500



Material: BeAs2IrBr
Method: DFT, PBE
State: relaxed

Output
E_tot = -19.0 eV/cell
Crystal system = tetragonal
ΔE_f (raw) = 0.918 eV/atom

abc: 4.367 4.367 4.639
angles: 90.00 90.00 90.00
Space group P4/mmm (No. 123)
One atom of each set of equivalent atoms:
Be 0.000 0.000 0.000
As 0.000 0.500 0.000
Ir 0.500 0.500 0.500
Br 0.000 0.000 0.500



Material: BeIr3S
Method: DFT, PBE
State: relaxed

Output
E_tot = -29.8 eV/cell
Crystal system = cubic
ΔE_f (raw) = 0.919 eV/atom

abc: 4.172 4.172 4.172
angles: 90.00 90.00 90.00
Space group Pm-3m (No. 221)
One atom of each set of equivalent atoms:
Be 0.000 0.000 0.000
Ir 0.000 0.000 0.500
S 0.500 0.500 0.500



Material: BeInRe2
Method: DFT, PBE
State: relaxed

Output
E_tot = -31.0 eV/cell
Formation energy from the elements = 0.0876 eV per atom
Crystal system = tetragonal

abc: 3.037 3.037 6.528
angles: 90.00 90.00 90.00
Space group P4mm (No. 99)
One atom of each set of equivalent atoms:
Be 0.000 0.000 0.000
In 0.500 0.500 0.711
Re 0.000 0.000 0.400
Re 0.500 0.500 0.164



Material: Pd6PbAu
Method: DFT, PBE
State: relaxed

Output
E_tot = -39.3 eV/cell
Formation energy from the elements = -0.1502 eV per atom
Crystal system = hexagonal

abc: 5.7252 5.7252 4.6971
angles: 90.00 90.00 120.00
Space group P-6m2 (No. 187)
One atom of each set of equivalent atoms:
Pd 0.0003 0.5002 0.0000
Pd 0.1700 0.3401 0.5000
Pb 0.0000 0.0000 0.0000
Au 0.6667 0.3333 0.5000